Below is a geometry-optimized RbVAgO3 structure, with properties calculated at the PBE+U level.

final energy	-68.1	eV/cell
crystal system	monoclinic
space-group type	C2/m
M_tot	0.035	μB/f.u.
density of states at the Fermi level	0.000	states/eV/atom

```
data_RbVAgO3
_cell_length_a 6.515
_cell_length_b 6.515
_cell_length_c 7.549
_cell_angle_alpha 112.76
_cell_angle_beta 112.76
_cell_angle_gamma 59.27
_symmetry_space_group_name_H-M 'P 1'
_symmetry_Int_Tables_number 1
_symmetry_space_group_name_Hall 'P 1'
loop_
_atom_site_label
_atom_site_type_symbol
_atom_site_fract_x
_atom_site_fract_y
_atom_site_fract_z
_atom_site_occupancy
Rb1 Rb 0.185 0.185 0.093 1
Rb2 Rb 0.815 0.815 0.907 1
V1 V 0.433 0.433 0.804 1
V2 V 0.567 0.567 0.196 1
Ag1 Ag 0.252 0.748 0.500 1
Ag2 Ag 0.748 0.252 0.500 1
O1 O 0.250 0.733 0.771 1
O2 O 0.267 0.750 0.229 1
O3 O 0.282 0.282 0.795 1
O4 O 0.718 0.718 0.205 1
O5 O 0.733 0.250 0.771 1
O6 O 0.750 0.267 0.229 1
```